1.
{
  "formula": "Cs2MgF",
  "functional": "PBE",
  "state": "optimized geometry",
  "raw_formation_energy_mev_per_atom": -1152,
  "n_ef_per_ev_cell": 2.58,
  "m_tot_mub_per_fu": 0.00,
  "space_group": "P1",
  "cell": [[-3.1320, -2.8745, 0.3348], [1.6765, -1.1446, 5.8719], [-5.2672, 3.3549, 5.4470]],
  "species": ["Cs", "Cs", "Mg", "F"],
  "fractional_positions": [[0.4391, 0.5941, 0.1575], [0.1830, 0.3269, 0.6905], [0.8112, 0.9755, 0.4232], [0.8111, 0.2896, 0.4243]]
}


2.
{
  "formula": "BaAsRhBr2",
  "functional": "PBE",
  "state": "optimized geometry",
  "raw_formation_energy_mev_per_atom": -776,
  "n_ef_per_ev_cell": 4.17,
  "m_tot_mub_per_fu": 0.00,
  "space_group": "P4/mmm",
  "cell": [[-0.7693, 0.0662, -5.3005], [-4.3567, -3.0591, 0.5941], [-2.7052, 3.9384, 0.4418]],
  "species": ["As", "Rh", "Ba", "Br", "Br"],
  "fractional_positions": [[0.0000, 0.0000, 0.5000], [0.0000, 0.0000, 0.0000], [0.5000, 0.5000, 0.5000], [0.0000, 0.5000, 0.0000], [0.5000, 0.0000, 0.0000]]
}